LiPSCl2: optimized geometry, GGA-PBE.

Computed properties:
raw total energy: -3.43 eV/atom
polymorph energy (0 for the lowest one): 0.0 kJ/mol of atoms
ΔE_f (raw): -2.01 eV/f.u.

a b c (Å): 5.0279 5.0279 4.4409
angles (deg): 90.00 90.00 90.00
With the nearest neighbours (Å) after each atom.
Fractional coordinates of all 5 atoms:
Li 0.0000 0.0000 0.0000  8 Cl 3.35, 4 S 3.56
P 0.5000 0.5000 0.5000  2 S 2.22
S 0.5000 0.5000 0.0000  2 P 2.22
Cl 0.0000 0.5000 0.5000  2 P 2.51
Cl 0.5000 0.0000 0.5000  2 P 2.51